Below is YRe2Au after structural relaxation, with properties calculated at the PBE level.

E above lowest polymorph: 6.35 kcal/mol of atoms
V: 18.730 Å³ per atom
VASP energy: -8.32 eV/atom
space group: P2/m (10)

Unit cell a=5.021 b=3.108 c=4.808 alpha=86.87 beta=90.00 gamma=90.00
Atoms (fractional coordinates):
Y1 0.500 0.250 0.250
Re1 0.000 0.918 0.011
Au1 0.500 0.750 0.750
Re2 0.000 0.582 0.489